1.
# Cr5Ge3

Crystalline Cr5Ge3 at its relaxed geometry (PBE, Alexandria).

The space group is I4/mcm (No. 140) and the conventional cell measures 9.304, 9.304 and 4.705 Å, with angles of 90.00, 90.00 and 90.00 degrees. The inequivalent atoms are Cr at (0.000, 0.500, 0.250), Cr at (0.079, 0.235, 0.000), Ge at (0.000, 0.000, 0.250) and Ge at (0.166, 0.334, 0.500).

The total energy comes out at -7.75 eV per atom. The calculation puts the formation energy at 0.0 kJ/mol of atoms.


2.
# CrGe

Crystalline CrGe at its relaxed geometry (PBE, Alexandria).

The space group is Fm-3m (No. 225) and the conventional cell measures 5.006, 5.006 and 5.006 Å, with angles of 90.00, 90.00 and 90.00 degrees. The inequivalent atoms are Cr at (0.000, 0.000, 0.000) and Ge at (0.000, 0.000, 0.500).

The total energy comes out at -6.81 eV per atom. The calculation puts the formation energy at 30.4 kJ/mol of atoms.


3.
# CrGeH3

Crystalline CrGeH3 at its relaxed geometry (PBE, Alexandria).

The space group is Pm-3m (No. 221) and the conventional cell measures 3.524, 3.524 and 3.524 Å, with angles of 90.00, 90.00 and 90.00 degrees. The inequivalent atoms are Cr at (0.000, 0.000, 0.000), Ge at (0.500, 0.500, 0.500) and H at (0.000, 0.000, 0.500).

The offset from the most stable computed form comes out at 0 meV per atom. The total energy comes out at -4.49 eV per atom.


> Number 3 is which compound?

CrGeH3


Copy entry 3 word for word.
# CrGeH3

Crystalline CrGeH3 at its relaxed geometry (PBE, Alexandria).

The space group is Pm-3m (No. 221) and the conventional cell measures 3.524, 3.524 and 3.524 Å, with angles of 90.00, 90.00 and 90.00 degrees. The inequivalent atoms are Cr at (0.000, 0.000, 0.000), Ge at (0.500, 0.500, 0.500) and H at (0.000, 0.000, 0.500).

The offset from the most stable computed form comes out at 0 meV per atom. The total energy comes out at -4.49 eV per atom.